Entry from the Alexandria database: LiPbBr2 after structural relaxation (PBE-GGA).

Energy relative to the lowest polymorph listed for this composition (meV per atom): 78
Density of states at the Fermi level (states/eV/cell): 2.02

Cell: 3.665 3.665 8.499 Å, 90.00 90.00 90.00°
Fractional positions:
Br1 0.000 0.000 0.017
Br2 0.500 0.500 0.403
Li1 0.000 0.000 0.313
Pb1 0.500 0.500 0.767



Entry from the Alexandria database: LiPbBr2 after structural relaxation (PBE-GGA).

Energy relative to the lowest polymorph listed for this composition (meV per atom): 652
Density of states at the Fermi level (states/eV/cell): 3.42

Cell: 5.413 5.413 5.413 Å, 60.00 60.00 60.00°
Fractional positions:
Br1 0.000 0.000 0.000
Br2 0.250 0.250 0.250
Li1 0.500 0.500 0.500
Pb1 0.750 0.750 0.750